Crystalline Ni8MoRh6 at its relaxed geometry. Source: Alexandria via LeMat-Bulk, functional GGA-PBE.

```
data_Ni8MoRh6
_symmetry_space_group_name_H-M 'R -3'
_symmetry_Int_Tables_number 148
_symmetry_space_group_name_Hall '-R 3'
_cell_length_a 7.1443
_cell_length_b 7.1443
_cell_length_c 13.2978
_cell_angle_alpha 90.00
_cell_angle_beta 90.00
_cell_angle_gamma 120.00
loop_
_atom_site_label
_atom_site_type_symbol
_atom_site_fract_x
_atom_site_fract_y
_atom_site_fract_z
_atom_site_occupancy
Ni1 Ni 0.0000 0.0000 0.2363 1
Ni2 Ni 0.0424 0.6163 0.5669 1
Mo1 Mo 0.0000 0.0000 0.0000 1
Rh1 Rh 0.0210 0.7903 0.4068 1
```

Values from the calculation:
The total energy is -6.54 eV/atom. Its energy relative to the elements is 209.7 meV per atom.

***

Crystalline Ni6MoRh at its relaxed geometry. Source: Alexandria via LeMat-Bulk, functional GGA-PBE.

```
data_Ni6MoRh
_symmetry_space_group_name_H-M 'R -3 m'
_symmetry_Int_Tables_number 166
_symmetry_space_group_name_Hall '-R 3 2"'
_cell_length_a 4.7076
_cell_length_b 4.7076
_cell_length_c 18.9279
_cell_angle_alpha 90.00
_cell_angle_beta 90.00
_cell_angle_gamma 120.00
loop_
_atom_site_label
_atom_site_type_symbol
_atom_site_fract_x
_atom_site_fract_y
_atom_site_fract_z
_atom_site_occupancy
Ni1 Ni 0.0053 0.5027 0.4370 1
Mo1 Mo 0.0000 0.0000 0.5000 1
Rh1 Rh 0.0000 0.0000 0.0000 1
```

Values from the calculation:
The total energy is -6.02 eV/atom. Its energy relative to the elements is 587.5 meV per atom.

***

Crystalline NiMoRh2 at its relaxed geometry. Source: Alexandria via LeMat-Bulk, functional GGA-PBE.

```
data_NiMoRh2
_symmetry_space_group_name_H-M 'I 4/m m m'
_symmetry_Int_Tables_number 139
_symmetry_space_group_name_Hall '-I 4 2'
_cell_length_a 3.839
_cell_length_b 3.839
_cell_length_c 7.473
_cell_angle_alpha 90.00
_cell_angle_beta 90.00
_cell_angle_gamma 90.00
loop_
_atom_site_label
_atom_site_type_symbol
_atom_site_fract_x
_atom_site_fract_y
_atom_site_fract_z
_atom_site_occupancy
Ni1 Ni 0.000 0.000 0.000 1
Mo1 Mo 0.000 0.000 0.500 1
Rh1 Rh 0.000 0.500 0.250 1
```

Values from the calculation:
The total energy is -7.99 eV/atom. Its energy relative to the elements is -163.5 meV per atom.